The following is a DFT calculation (PBE) of a relaxed Mg3TiAl crystal.

abc: 5.3772 5.3772 5.3772
angles: 90.00 90.00 90.00
Closest atoms and distances in Å follow each position.
Atoms (fractional coordinates):
Mg 0.0000 0.0000 0.5000  2 Ti 2.69
Mg 0.0000 0.5000 0.0000  2 Ti 2.69
Mg 0.5000 0.0000 0.0000  2 Ti 2.69
Ti 0.0000 0.0000 0.0000  6 Mg 2.69
Al 0.5000 0.5000 0.5000  12 Mg 3.80

Calculated values
- Calculated formation energy: 1.10 eV/atom
- Fermi-level density of states: 6.56 states/eV/cell
- Symmetry: No. 221
- Polymorph energy (0 for the lowest one): 279 meV per atom

=====

The following is a DFT calculation (PBE) of a relaxed Pm3HoAs4 crystal.

abc: 8.4085 11.8896 4.2073
angles: 90.00 90.00 90.00
Closest atoms and distances in Å follow each position.
Atoms (fractional coordinates):
Pm 0.0000 0.0000 0.0000  6 As 3.01
Pm 0.2500 0.2500 0.5000  6 As 2.97
Pm 0.2500 0.7500 0.5000  6 As 2.97
Pm 0.5000 0.5000 0.0000  6 As 3.01
Pm 0.7500 0.2500 0.5000  6 As 2.97
Pm 0.7500 0.7500 0.5000  6 As 2.97
Ho 0.0000 0.5000 0.0000  6 As 2.94
Ho 0.5000 0.0000 0.0000  6 As 2.94
As 0.0000 0.2528 0.0000  1 Ho 2.94, 5 Pm 2.97-3.01
As 0.0000 0.7472 0.0000  1 Ho 2.94, 5 Pm 2.97-3.01
As 0.2444 0.5000 0.5000  2 Ho 2.94, 4 Pm 2.97-3.01
As 0.2556 0.0000 0.5000  2 Ho 2.94, 4 Pm 2.97-3.01
As 0.5000 0.2472 0.0000  1 Ho 2.94, 5 Pm 2.97-3.01
As 0.5000 0.7528 0.0000  1 Ho 2.94, 5 Pm 2.97-3.01
As 0.7444 0.0000 0.5000  2 Ho 2.94, 4 Pm 2.97-3.01
As 0.7556 0.5000 0.5000  2 Ho 2.94, 4 Pm 2.97-3.01

Calculated values
- Calculated formation energy: -1.52 eV/atom
- Fermi-level density of states: 1.45 states/eV/cell
- Symmetry: No. 65

=====

The following is a DFT calculation (PBE) of a relaxed Tb12Co6Ni crystal.

abc: 8.3060 8.3060 8.3060
angles: 109.47 109.47 109.47
Closest atoms and distances in Å follow each position.
Atoms (fractional coordinates):
Tb 0.1065 0.2995 0.8070  3 Co 2.67-2.89
Tb 0.1930 0.4925 0.2995  3 Co 2.67-2.89
Tb 0.1930 0.8935 0.7005  3 Co 2.67-2.89
Tb 0.2995 0.1930 0.4925  3 Co 2.67-2.89
Tb 0.2995 0.8070 0.1065  3 Co 2.67-2.89
Tb 0.4925 0.2995 0.1930  3 Co 2.67-2.89
Tb 0.5075 0.7005 0.8070  3 Co 2.67-2.89
Tb 0.7005 0.1930 0.8935  3 Co 2.67-2.89
Tb 0.7005 0.8070 0.5075  3 Co 2.67-2.89
Tb 0.8070 0.1065 0.2995  3 Co 2.67-2.89
Tb 0.8070 0.5075 0.7005  3 Co 2.67-2.89
Tb 0.8935 0.7005 0.1930  3 Co 2.67-2.89
Co 0.1145 0.5000 0.6145  1 Co 2.20
Co 0.3855 0.8855 0.5000  1 Co 2.20
Co 0.5000 0.3855 0.8855  1 Co 2.20
Co 0.5000 0.6145 0.1145  1 Co 2.20
Co 0.6145 0.1145 0.5000  1 Co 2.20
Co 0.8855 0.5000 0.3855  1 Co 2.20
Ni 0.0000 0.0000 0.0000  12 Tb 3.42

Calculated values
- Calculated formation energy: -0.16 eV/atom
- Fermi-level density of states: 11.54 states/eV/cell
- Symmetry: No. 204

=====

The following is a DFT calculation (PBE) of a relaxed YCrIr2 crystal.

abc: 4.3181 4.3181 7.3501
angles: 90.00 90.00 90.00
Closest atoms and distances in Å follow each position.
Atoms (fractional coordinates):
Y 0.0000 0.0000 0.0000  8 Ir 2.84, 4 Cr 3.05
Y 0.5000 0.5000 0.5000  8 Ir 2.84, 4 Cr 3.05
Cr 0.0000 0.0000 0.5000  8 Ir 2.84, 4 Y 3.05
Cr 0.5000 0.5000 0.0000  8 Ir 2.84, 4 Y 3.05
Ir 0.0000 0.5000 0.2500  4 Cr 2.84, 4 Y 2.84, 4 Ir 3.05
Ir 0.0000 0.5000 0.7500  4 Cr 2.84, 4 Y 2.84, 4 Ir 3.05
Ir 0.5000 0.0000 0.2500  4 Cr 2.84, 4 Y 2.84, 4 Ir 3.05
Ir 0.5000 0.0000 0.7500  4 Cr 2.84, 4 Y 2.84, 4 Ir 3.05

Calculated values
- Calculated formation energy: -0.18 eV/atom
- Fermi-level density of states: 5.42 states/eV/cell
- Symmetry: No. 139
- Polymorph energy (0 for the lowest one): 107 meV per atom

=====

The following is a DFT calculation (PBE) of a relaxed Te2RhPb crystal.

abc: 3.3223 3.3223 9.6386
angles: 90.00 90.00 90.00
Closest atoms and distances in Å follow each position.
Atoms (fractional coordinates):
Te 0.0000 0.0000 0.0000  4 Rh 2.69
Te 0.5000 0.5000 0.3478  4 Te 3.32, 4 Pb 3.71
Rh 0.5000 0.5000 0.8645  4 Te 2.69
Pb 0.0000 0.0000 0.6462  4 Rh 3.15, 4 Pb 3.32, 1 Te 3.41

Calculated values
- E_form (uncorrected): -0.08 eV per atom
- Fermi-level density of states: 2.92 states/eV/cell
- Symmetry: No. 99

=====

The following is a DFT calculation (PBE) of a relaxed ZnBiAu2O crystal.

abc: 4.7140 4.7140 5.5023
angles: 90.00 90.00 90.00
Closest atoms and distances in Å follow each position.
Atoms (fractional coordinates):
Zn 0.0000 0.0000 0.0000  4 Au 2.36
Bi 0.0000 0.0000 0.5000  2 Zn 2.75
Au 0.0000 0.5000 0.0000  2 Zn 2.36
Au 0.5000 0.0000 0.0000  2 Zn 2.36
O 0.5000 0.5000 0.5000  4 Bi 3.33, 8 Au 3.62

Calculated values
- E_form (uncorrected): 0.81 eV per atom
- Fermi-level density of states: 3.63 states/eV/cell
- Symmetry: No. 123

=====

The following is a DFT calculation (PBE) of a relaxed BaIn3Ag crystal.

abc: 6.4198 6.4198 6.4198
angles: 90.00 90.00 90.00
Closest atoms and distances in Å follow each position.
Atoms (fractional coordinates):
Ba 0.0000 0.0000 0.0000  6 In 3.21
In 0.0000 0.0000 0.5000  2 Ba 3.21
In 0.0000 0.5000 0.0000  2 Ba 3.21
In 0.5000 0.0000 0.0000  2 Ba 3.21
Ag 0.5000 0.5000 0.5000  12 In 4.54

Calculated values
- Calculated formation energy: 0.99 eV/atom
- Fermi-level density of states: 8.15 states/eV/cell
- Symmetry: No. 221

=====

The following is a DFT calculation (PBE) of a relaxed Cu2MoW crystal.

abc: 3.2092 3.2092 5.5610
angles: 90.00 90.00 90.00
Closest atoms and distances in Å follow each position.
Atoms (fractional coordinates):
Cu 0.0000 0.0000 0.0000  4 Cu 2.54, 1 Mo 2.69, 4 W 2.73
Cu 0.5000 0.5000 0.2072  4 Cu 2.54, 1 W 2.67, 4 Mo 2.74
Mo 0.0000 0.0000 0.4838  4 W 2.64, 6 Cu 2.69-2.87
W 0.5000 0.5000 0.7273  4 Mo 2.64, 6 Cu 2.67-2.89

Calculated values
- Calculated formation energy: 0.28 eV/atom
- Fermi-level density of states: 2.20 states/eV/cell
- Symmetry: No. 99
- Polymorph energy (0 for the lowest one): 92 meV per atom

=====

The following is a DFT calculation (PBE) of a relaxed Sc2GaBr crystal.

abc: 6.9559 6.9559 6.9559
angles: 90.00 90.00 90.00
Closest atoms and distances in Å follow each position.
Atoms (fractional coordinates):
Sc 0.2500 0.2500 0.2500  4 Br 3.01, 4 Ga 3.01
Sc 0.2500 0.2500 0.7500  4 Br 3.01, 4 Ga 3.01
Sc 0.2500 0.7500 0.2500  4 Br 3.01, 4 Ga 3.01
Sc 0.2500 0.7500 0.7500  4 Br 3.01, 4 Ga 3.01
Sc 0.7500 0.2500 0.2500  4 Br 3.01, 4 Ga 3.01
Sc 0.7500 0.2500 0.7500  4 Br 3.01, 4 Ga 3.01
Sc 0.7500 0.7500 0.2500  4 Br 3.01, 4 Ga 3.01
Sc 0.7500 0.7500 0.7500  4 Br 3.01, 4 Ga 3.01
Ga 0.0000 0.0000 0.0000  8 Sc 3.01
Ga 0.0000 0.5000 0.5000  8 Sc 3.01
Ga 0.5000 0.0000 0.5000  8 Sc 3.01
Ga 0.5000 0.5000 0.0000  8 Sc 3.01
Br 0.0000 0.0000 0.5000  8 Sc 3.01
Br 0.0000 0.5000 0.0000  8 Sc 3.01
Br 0.5000 0.0000 0.0000  8 Sc 3.01
Br 0.5000 0.5000 0.5000  8 Sc 3.01

Calculated values
- E_form (uncorrected): -0.43 eV per atom
- Fermi-level density of states: 3.56 states/eV/cell
- Symmetry: No. 225
- Polymorph energy (0 for the lowest one): 96 meV per atom

=====

The following is a DFT calculation (PBE) of a relaxed NbTlBi2N crystal.

abc: 5.4693 5.4693 5.6374
angles: 90.00 90.00 90.00
Closest atoms and distances in Å follow each position.
Atoms (fractional coordinates):
Nb 0.0000 0.0000 0.0000  4 Bi 2.73, 2 Tl 2.82
Tl 0.0000 0.0000 0.5000  2 Nb 2.82
Bi 0.0000 0.5000 0.0000  2 Nb 2.73
Bi 0.5000 0.0000 0.0000  2 Nb 2.73
N 0.5000 0.5000 0.5000  4 Tl 3.87, 8 Bi 3.93

Calculated values
- E_form (uncorrected): 1.29 eV per atom
- Fermi-level density of states: 3.38 states/eV/cell
- Symmetry: No. 123

=====

The following is a DFT calculation (PBE) of a relaxed Ba2CaHf crystal.

abc: 5.0917 5.0917 25.7649
angles: 90.00 90.00 90.00
Closest atoms and distances in Å follow each position.
Atoms (fractional coordinates):
Ba 0.2316 0.2500 0.1250  4 Ba 3.47-3.74, 2 Hf 3.66, 2 Ca 3.72
Ba 0.2500 0.7316 0.3750  4 Ba 3.47-3.74, 2 Hf 3.66, 2 Ca 3.72
Ba 0.2500 0.7684 0.8750  4 Ba 3.47-3.74, 2 Hf 3.66, 2 Ca 3.72
Ba 0.2684 0.2500 0.6250  4 Ba 3.47-3.74, 2 Hf 3.66, 2 Ca 3.72
Ba 0.7316 0.7500 0.6250  4 Ba 3.47-3.74, 2 Hf 3.66, 2 Ca 3.72
Ba 0.7500 0.2316 0.8750  4 Ba 3.47-3.74, 2 Hf 3.66, 2 Ca 3.72
Ba 0.7500 0.2684 0.3750  4 Ba 3.47-3.74, 2 Hf 3.66, 2 Ca 3.72
Ba 0.7684 0.7500 0.1250  4 Ba 3.47-3.74, 2 Hf 3.66, 2 Ca 3.72
Ca 0.0000 0.0000 0.5000  4 Hf 3.60, 4 Ba 3.72
Ca 0.0000 0.5000 0.7500  4 Hf 3.60, 4 Ba 3.72
Ca 0.5000 0.0000 0.2500  4 Hf 3.60, 4 Ba 3.72
Ca 0.5000 0.5000 0.0000  4 Hf 3.60, 4 Ba 3.72
Hf 0.0000 0.0000 0.0000  4 Ca 3.60, 4 Ba 3.66
Hf 0.0000 0.5000 0.2500  4 Ca 3.60, 4 Ba 3.66
Hf 0.5000 0.0000 0.7500  4 Ca 3.60, 4 Ba 3.66
Hf 0.5000 0.5000 0.5000  4 Ca 3.60, 4 Ba 3.66

Calculated values
- Calculated formation energy: 0.87 eV/atom
- Fermi-level density of states: 18.33 states/eV/cell
- Symmetry: No. 122
- Polymorph energy (0 for the lowest one): 249 meV per atom

=====

The following is a DFT calculation (PBE) of a relaxed BaLiCd2Sn crystal.

abc: 5.1695 5.1695 5.2944
angles: 90.00 90.00 90.00
Closest atoms and distances in Å follow each position.
Atoms (fractional coordinates):
Ba 0.0000 0.0000 0.0000  4 Sn 3.66, 8 Cd 3.70
Li 0.5000 0.5000 0.5000  4 Cd 2.58, 2 Sn 2.65
Cd 0.0000 0.5000 0.5000  2 Li 2.58
Cd 0.5000 0.0000 0.5000  2 Li 2.58
Sn 0.5000 0.5000 0.0000  2 Li 2.65

Calculated values
- Calculated formation energy: -0.24 eV/atom
- Fermi-level density of states: 2.26 states/eV/cell
- Symmetry: No. 123

=====

The following is a DFT calculation (PBE) of a relaxed Ca2CdW crystal.

abc: 11.8229 3.0744 5.6895
angles: 90.00 108.00 90.00
Closest atoms and distances in Å follow each position.
Atoms (fractional coordinates):
Ca 0.0000 0.0000 0.0000  2 Ca 3.07, 3 Cd 3.23-3.29, 4 W 3.25-3.31
Ca 0.2028 0.0000 0.6153  2 Ca 3.07, 3 W 3.23-3.26, 4 Cd 3.29-3.30
Ca 0.5000 0.5000 0.0000  2 Ca 3.07, 3 Cd 3.23-3.29, 4 W 3.25-3.31
Ca 0.7028 0.5000 0.6153  2 Ca 3.07, 3 W 3.23-3.26, 4 Cd 3.29-3.30
Cd 0.2586 0.5000 0.1524  2 W 2.88, 2 Cd 3.07
Cd 0.7586 0.0000 0.1524  2 W 2.88, 2 Cd 3.07
W 0.4504 0.0000 0.4749  2 Cd 2.88, 2 W 3.07
W 0.9504 0.5000 0.4749  2 Cd 2.88, 2 W 3.07

Calculated values
- Calculated formation energy: 0.57 eV/atom
- Fermi-level density of states: 7.63 states/eV/cell
- Symmetry: No. 8

=====

The following is a DFT calculation (PBE) of a relaxed Sc2MoIr crystal.

abc: 2.9264 4.3449 5.5369
angles: 90.00 98.57 90.00
Closest atoms and distances in Å follow each position.
Atoms (fractional coordinates):
Sc 0.2502 0.0000 0.2465  2 Ir 2.72, 2 Mo 2.74, 4 Sc 2.90-2.97
Sc 0.7498 0.0000 0.7535  2 Ir 2.72, 2 Mo 2.74, 4 Sc 2.90-2.97
Mo 0.0000 0.5000 0.5000  4 Sc 2.74, 2 Mo 2.93, 2 Ir 2.93
Ir 0.5000 0.5000 0.0000  4 Sc 2.72, 2 Ir 2.93, 2 Mo 2.93

Calculated values
- Calculated formation energy: -0.21 eV/atom
- Fermi-level density of states: 3.63 states/eV/cell
- Symmetry: No. 10

=====

The following is a DFT calculation (PBE) of a relaxed Ca2H2Cl crystal.

abc: 7.3078 7.3078 3.3904
angles: 90.00 90.00 90.00
Closest atoms and distances in Å follow each position.
Atoms (fractional coordinates):
Ca 0.1662 0.3338 0.0000  6 H 2.70-2.76, 2 Cl 2.73
Ca 0.3338 0.8338 0.0000  6 H 2.70-2.76, 2 Cl 2.73
Ca 0.6662 0.1662 0.0000  6 H 2.70-2.76, 2 Cl 2.73
Ca 0.8338 0.6662 0.0000  6 H 2.70-2.76, 2 Cl 2.73
H 0.1303 0.6303 0.5000  1 H 2.69, 6 Ca 2.70-2.76
H 0.3697 0.1303 0.5000  1 H 2.69, 6 Ca 2.70-2.76
H 0.6303 0.8697 0.5000  1 H 2.69, 6 Ca 2.70-2.76
H 0.8697 0.3697 0.5000  1 H 2.69, 6 Ca 2.70-2.76
Cl 0.0000 0.0000 0.0000  4 Ca 2.73
Cl 0.5000 0.5000 0.0000  4 Ca 2.73

Calculated values
- Fermi-level density of states: 3.83 states/eV/cell
- Symmetry: No. 127
- Polymorph energy (0 for the lowest one): 184 meV per atom

=====

The following is a DFT calculation (PBE) of a relaxed Ce2SmDyAs4 crystal.

abc: 7.2525 4.1922 7.2630
angles: 90.00 109.49 90.00
Closest atoms and distances in Å follow each position.
Atoms (fractional coordinates):
Ce 0.0000 0.0000 0.0000  6 As 2.95
Ce 0.0000 0.5000 0.5000  6 As 2.98
Sm 0.5000 0.0000 0.5000  6 As 2.97
Dy 0.5000 0.5000 0.0000  6 As 2.95
As 0.2498 0.5000 0.2470  1 Dy 2.95, 3 Ce 2.95-2.98, 2 Sm 2.97
As 0.2520 0.0000 0.7536  2 Dy 2.95, 3 Ce 2.95-2.98, 1 Sm 2.97
As 0.7480 0.0000 0.2464  2 Dy 2.95, 3 Ce 2.95-2.98, 1 Sm 2.97
As 0.7502 0.5000 0.7530  1 Dy 2.95, 3 Ce 2.95-2.98, 2 Sm 2.97

Calculated values
- Calculated formation energy: -1.48 eV/atom
- Fermi-level density of states: 10.82 states/eV/cell
- Symmetry: No. 10